A geometry-optimized TlVF3 structure, computed with GGA+U.

Summary:
Size of the total moment in μB per formula unit: 3.0
Relative energy among the computed polymorphs in meV/atom: 151

Lattice parameters (Å, degrees): 7.8609 7.8609 5.9506 91.26 91.26 82.02
Fractional positions:
Tl 0.1044 0.8956 0.7500
Tl 0.3952 0.6048 0.2500
Tl 0.6048 0.3952 0.7500
Tl 0.8956 0.1044 0.2500
V 0.1481 0.4066 0.6812
V 0.4066 0.1481 0.1812
V 0.5934 0.8519 0.8188
V 0.8519 0.5934 0.3188
F 0.1008 0.6128 0.4446
F 0.1850 0.5921 0.9133
F 0.2227 0.2275 0.4196
F 0.2275 0.2227 0.9196
F 0.3872 0.8992 0.0554
F 0.4079 0.8150 0.5867
F 0.5921 0.1850 0.4133
F 0.6128 0.1008 0.9446
F 0.7725 0.7773 0.0804
F 0.7773 0.7725 0.5804
F 0.8150 0.4079 0.0867
F 0.8992 0.3872 0.5554